[1]
Here is a crystal of Mg5Cd3 relaxed with PBEsol from Alexandria. Energies are from SCAN.

The structure belongs to space group P6_3/mcm (No. 193); the cell edges are 8.3766, 8.3766 and 5.7192 Å and the angles 90.00°, 90.00° and 120.00°. The asymmetric unit holds Mg at (0.0000, 0.2405, 0.2500), Mg at (0.3333, 0.6667, 0.0000) and Cd at (0.0000, 0.3978, 0.7500).

The value obtained for the formation energy is -0.14 eV per atom. The calculation puts the calculated density at 4.4 g/cm³. The value obtained for the energy above the lowest structure with this stoichiometry is 0 meV per atom.

[2]
Here is a crystal of IrRh2 relaxed with PBEsol from Alexandria. Energies are from SCAN.

The structure belongs to space group I4/mmm (No. 139); the cell edges are 2.6847, 2.6847 and 11.3757 Å and the angles 90.00°, 90.00° and 90.00°. The asymmetric unit holds Ir at (0.0000, 0.0000, 0.0000) and Rh at (0.0000, 0.0000, 0.3349).

The value obtained for the formation energy is -0.02 eV per atom. The calculation puts the calculated density at 16.1 g/cm³. The value obtained for the energy above the lowest structure with this stoichiometry is 10 meV per atom.

[3]
Here is a crystal of SrZn2CdCo relaxed with PBEsol from Alexandria. Energies are from SCAN.

The structure belongs to space group P4/mmm (No. 123); the cell edges are 5.6630, 5.6630 and 5.9425 Å and the angles 90.00°, 90.00° and 90.00°. The asymmetric unit holds Sr at (0.0000, 0.0000, 0.0000), Zn at (0.0000, 0.5000, 0.0000), Cd at (0.0000, 0.0000, 0.5000) and Co at (0.5000, 0.5000, 0.5000).

The value obtained for the formation energy is 1.40 eV per atom. The calculation puts the calculated density at 3.4 g/cm³.

[4]
Here is a crystal of BiSeN3 relaxed with PBEsol from Alexandria. Energies are from SCAN.

The structure belongs to space group Pm-3m (No. 221); the cell edges are 4.2686, 4.2686 and 4.2686 Å and the angles 90.00°, 90.00° and 90.00°. The asymmetric unit holds Bi at (0.0000, 0.0000, 0.0000), Se at (0.5000, 0.5000, 0.5000) and N at (0.0000, 0.0000, 0.5000).

For the uncorrected formation energy, the calculation gives 12.47 eV per formula unit. The calculation puts the calculated density at 7.0 g/cm³.

[5]
Here is a crystal of Y2ScCuAs relaxed with PBEsol from Alexandria. Energies are from SCAN.

The structure belongs to space group P4/mmm (No. 123); the cell edges are 5.4126, 5.4126 and 4.4325 Å and the angles 90.00°, 90.00° and 90.00°. The asymmetric unit holds Y at (0.0000, 0.5000, 0.0000), Sc at (0.0000, 0.0000, 0.5000), Cu at (0.5000, 0.5000, 0.5000) and As at (0.5000, 0.5000, 0.0000).

The value obtained for the formation energy is -0.13 eV per atom. The calculation puts the calculated density at 4.6 g/cm³.

[6]
Here is a crystal of Ba2PdPbF relaxed with PBEsol from Alexandria. Energies are from SCAN.

The structure belongs to space group P4/mmm (No. 123); the cell edges are 5.4203, 5.4203 and 4.8285 Å and the angles 90.00°, 90.00° and 90.00°. The asymmetric unit holds Ba at (0.0000, 0.5000, 0.0000), Pd at (0.0000, 0.0000, 0.5000), Pb at (0.5000, 0.5000, 0.5000) and F at (0.5000, 0.5000, 0.0000).

For the uncorrected formation energy, the calculation gives -5.66 eV per formula unit. The calculation puts the calculated density at 7.1 g/cm³.

[7]
Here is a crystal of TiGe3C relaxed with PBEsol from Alexandria. Energies are from SCAN.

The structure belongs to space group Pm-3m (No. 221); the cell edges are 4.8166, 4.8166 and 4.8166 Å and the angles 90.00°, 90.00° and 90.00°. The asymmetric unit holds Ti at (0.0000, 0.0000, 0.0000), Ge at (0.0000, 0.0000, 0.5000) and C at (0.5000, 0.5000, 0.5000).

The value obtained for the formation energy is 1.68 eV per atom. The calculation puts the calculated density at 4.1 g/cm³.

[8]
Here is a crystal of Sr2Au relaxed with PBEsol from Alexandria. Energies are from SCAN.

The structure belongs to space group P-3m1 (No. 164); the cell edges are 4.4408, 4.4408 and 7.0793 Å and the angles 90.00°, 90.00° and 120.00°. The asymmetric unit holds Sr at (0.3333, 0.6667, 0.2610) and Au at (0.0000, 0.0000, 0.5000).

The value obtained for the formation energy is -0.65 eV per atom. The calculation puts the calculated density at 5.1 g/cm³.

[9]
Here is a crystal of SiSb2 relaxed with PBEsol from Alexandria. Energies are from SCAN.

The structure belongs to space group P-62m (No. 189); the cell edges are 8.0169, 8.0169 and 3.6806 Å and the angles 90.00°, 90.00° and 120.00°. The asymmetric unit holds Si at (0.0000, 0.0000, 0.0000), Si at (0.3333, 0.6667, 0.5000), Sb at (0.0000, 0.4178, 0.0000) and Sb at (0.0000, 0.7321, 0.5000).

For the uncorrected formation energy, the calculation gives 1.56 eV per formula unit. The calculation puts the calculated density at 6.6 g/cm³. The value obtained for the energy above the lowest structure with this stoichiometry is 288 meV per atom.

[10]
Here is a crystal of Sc2CrFe relaxed with PBEsol from Alexandria. Energies are from SCAN.

The structure belongs to space group P4/mmm (No. 123); the cell edges are 4.4333, 4.4333 and 3.2150 Å and the angles 90.00°, 90.00° and 90.00°. The asymmetric unit holds Sc at (0.0000, 0.5000, 0.0000), Cr at (0.0000, 0.0000, 0.5000) and Fe at (0.5000, 0.5000, 0.5000).

The value obtained for the formation energy is 0.08 eV per atom. The calculation puts the calculated density at 5.2 g/cm³.

[11]
Here is a crystal of BaSr2NbSn relaxed with PBEsol from Alexandria. Energies are from SCAN.

The structure belongs to space group P4/mmm (No. 123); the cell edges are 5.9867, 5.9867 and 5.1212 Å and the angles 90.00°, 90.00° and 90.00°. The asymmetric unit holds Ba at (0.0000, 0.0000, 0.0000), Sr at (0.0000, 0.5000, 0.0000), Nb at (0.0000, 0.0000, 0.5000) and Sn at (0.5000, 0.5000, 0.5000).

The value obtained for the formation energy is 1.25 eV per atom. The calculation puts the calculated density at 4.7 g/cm³.

[12]
Here is a crystal of ZrGaSb2Te relaxed with PBEsol from Alexandria. Energies are from SCAN.

The structure belongs to space group P4/mmm (No. 123); the cell edges are 5.0963, 5.0963 and 5.2473 Å and the angles 90.00°, 90.00° and 90.00°. The asymmetric unit holds Zr at (0.0000, 0.0000, 0.0000), Ga at (0.5000, 0.5000, 0.5000), Sb at (0.0000, 0.5000, 0.5000) and Te at (0.5000, 0.5000, 0.0000).

For the uncorrected formation energy, the calculation gives 2.99 eV per formula unit. The calculation puts the calculated density at 6.5 g/cm³.

[13]
Here is a crystal of Cu3Ni relaxed with PBEsol from Alexandria. Energies are from SCAN.

The structure belongs to space group Pnma (No. 62); the cell edges are 4.3198, 8.1725 and 4.9760 Å and the angles 90.00°, 90.00° and 90.00°. The asymmetric unit holds Cu at (0.0810, 0.2500, 0.1243), Cu at (0.2477, 0.5007, 0.3750) and Ni at (0.0812, 0.2500, 0.6275).

The value obtained for the formation energy is 0.04 eV per atom. The calculation puts the calculated density at 9.4 g/cm³.

[14]
Here is a crystal of LiMg2Ag2 relaxed with PBEsol from Alexandria. Energies are from SCAN.

The structure belongs to space group I4/mmm (No. 139); the cell edges are 4.1375, 4.1375 and 12.3847 Å and the angles 90.00°, 90.00° and 90.00°. The asymmetric unit holds Li at (0.0000, 0.0000, 0.0000), Mg at (0.0000, 0.5000, 0.2500) and Ag at (0.0000, 0.0000, 0.3945).

The value obtained for the formation energy is -0.02 eV per atom. The calculation puts the calculated density at 4.2 g/cm³. The value obtained for the energy above the lowest structure with this stoichiometry is 193 meV per atom.

[15]
Here is a crystal of ScFe2Ni2 relaxed with PBEsol from Alexandria. Energies are from SCAN.

The structure belongs to space group I4/mmm (No. 139); the cell edges are 3.6449, 3.6449 and 9.9858 Å and the angles 90.00°, 90.00° and 90.00°. The asymmetric unit holds Sc at (0.0000, 0.0000, 0.0000), Fe at (0.0000, 0.0000, 0.3922) and Ni at (0.0000, 0.5000, 0.2500).

The value obtained for the formation energy is -0.03 eV per atom. The calculation puts the calculated density at 6.9 g/cm³. The value obtained for the energy above the lowest structure with this stoichiometry is 104 meV per atom.

[16]
Here is a crystal of Os3Cl relaxed with PBEsol from Alexandria. Energies are from SCAN.

The structure belongs to space group Immm (No. 71); the cell edges are 2.7919, 4.5371 and 8.8355 Å and the angles 90.00°, 90.00° and 90.00°. The asymmetric unit holds Os at (0.0000, 0.0000, 0.0000), Os at (0.0000, 0.5000, 0.2340) and Cl at (0.0000, 0.0000, 0.5000).

For the uncorrected formation energy, the calculation gives 5.25 eV per formula unit. The calculation puts the calculated density at 18.0 g/cm³. The value obtained for the energy above the lowest structure with this stoichiometry is 724 meV per atom.

[17]
Here is a crystal of Al3CuS relaxed with PBEsol from Alexandria. Energies are from SCAN.

The structure belongs to space group Pm-3m (No. 221); the cell edges are 4.5864, 4.5864 and 4.5864 Å and the angles 90.00°, 90.00° and 90.00°. The asymmetric unit holds Al at (0.0000, 0.0000, 0.5000), Cu at (0.5000, 0.5000, 0.5000) and S at (0.0000, 0.0000, 0.0000).

For the uncorrected formation energy, the calculation gives 3.34 eV per formula unit. The calculation puts the calculated density at 3.0 g/cm³.

[18]
Here is a crystal of BaCuSnMo2 relaxed with PBEsol from Alexandria. Energies are from SCAN.

The structure belongs to space group P4/mmm (No. 123); the cell edges are 4.6959, 4.6959 and 5.4169 Å and the angles 90.00°, 90.00° and 90.00°. The asymmetric unit holds Ba at (0.0000, 0.0000, 0.0000), Cu at (0.0000, 0.0000, 0.5000), Sn at (0.5000, 0.5000, 0.0000) and Mo at (0.0000, 0.5000, 0.5000).

The value obtained for the formation energy is 1.46 eV per atom. The calculation puts the calculated density at 7.1 g/cm³.

[19]
Here is a crystal of Er3Si11Pt23 relaxed with PBEsol from Alexandria. Energies are from SCAN.

The structure belongs to space group Fm-3m (No. 225); the cell edges are 16.7801, 16.7801 and 16.7801 Å and the angles 90.00°, 90.00° and 90.00°. The asymmetric unit holds Er at (0.0000, 0.2500, 0.2500), Si at (0.0000, 0.0000, 0.1710), Si at (0.1063, 0.1063, 0.3937), Si at (0.1654, 0.1654, 0.1654), Pt at (0.0000, 0.0000, 0.3748), Pt at (0.0830, 0.0830, 0.0830), Pt at (0.0846, 0.0846, 0.2521) and Pt at (0.1917, 0.1917, 0.3083).

For the uncorrected formation energy, the calculation gives -37.92 eV per formula unit. The calculation puts the calculated density at 14.9 g/cm³.

[20]
Here is a crystal of LiCrRhN2 relaxed with PBEsol from Alexandria. Energies are from SCAN.

The structure belongs to space group P4/mmm (No. 123); the cell edges are 3.6286, 3.6286 and 4.6705 Å and the angles 90.00°, 90.00° and 90.00°. The asymmetric unit holds Li at (0.0000, 0.0000, 0.0000), Cr at (0.5000, 0.5000, 0.5000), Rh at (0.5000, 0.5000, 0.0000) and N at (0.0000, 0.5000, 0.5000).

For the uncorrected formation energy, the calculation gives 3.15 eV per formula unit. The calculation puts the calculated density at 5.1 g/cm³.

Looking at uncorrected energy for the records above, in order, we have -14.657 -46.237 -18.002 -22.812 -21.196 -39.372 -14.998 -38.556 -27.661 -16.163 -29.377 -31.166 -15.406 -15.035 -16.599 -54.593 -8.948 -30.633 -51.718 -13.995 eV per atom.